VASP calculation (PBE) on crystalline SrSc4Tc at its relaxed geometry.

The space group is F-43m (No. 216) and the conventional cell measures 8.424, 8.424 and 8.424 Å, with angles of 90.00, 90.00 and 90.00 degrees. The asymmetric unit holds Sr at (0.000, 0.000, 0.000), Sc at (0.121, 0.121, 0.379) and Tc at (0.250, 0.250, 0.750).

The mass density is 4.06 Mg/m³. The density of states at the Fermi level is 11.7 states/eV/f.u. The energy relative to the elements comes out at 392.6 kJ/mol of formula units.